# 1
Compound: TlSeI3
Source: the Alexandria database
Functional: PBE
Structure: relaxed Values from VASP.

Quantum ESPRESSO input file:
```
&SYSTEM
  ibrav = 0, nat = 5, ntyp = 3
/
ATOMIC_SPECIES
I 126.90 I.upf
Tl 204.38 Tl.upf
Se 78.96 Se.upf
CELL_PARAMETERS angstrom
-4.424 -1.316 -3.972
-2.597 -3.668 4.108
-3.280 4.679 2.103
ATOMIC_POSITIONS crystal
I 0.000 0.500 0.000
I 0.000 0.000 0.500
I 0.500 0.000 0.000
Tl 0.000 0.000 0.000
Se 0.500 0.500 0.500
```

Computed properties:
**Calculated total energy**: -1.75 eV/atom
**DOS at the Fermi energy**: 0.751 states/eV per atom
**Uncorrected formation energy**: 0.351 eV per atom
**Relative energy among the computed polymorphs**: 537.0 meV per atom



# 2
Compound: TlSeI2
Source: the Alexandria database
Functional: PBE
Structure: relaxed Values from VASP.

Quantum ESPRESSO input file:
```
&SYSTEM
  ibrav = 0, nat = 8, ntyp = 3
/
ATOMIC_SPECIES
I 126.90 I.upf
Tl 204.38 Tl.upf
Se 78.96 Se.upf
CELL_PARAMETERS angstrom
6.428 0.000 0.000
0.000 6.428 0.000
3.214 3.214 9.221
ATOMIC_POSITIONS crystal
I 0.536 0.125 0.250
I 0.214 0.625 0.250
I 0.375 0.464 0.750
I 0.875 0.786 0.750
Tl 0.000 0.000 0.000
Tl 0.750 0.250 0.500
Se 0.500 0.500 0.000
Se 0.250 0.750 0.500
```

Computed properties:
**Calculated total energy**: -2.23 eV/atom
**DOS at the Fermi energy**: 0.334 states/eV per atom
**Uncorrected formation energy**: 0.003 eV per atom
**Relative energy among the computed polymorphs**: 0.0 meV per atom



# 3
Compound: Tl6Se3I
Source: the Alexandria database
Functional: PBE
Structure: relaxed Values from VASP.

Quantum ESPRESSO input file:
```
&SYSTEM
  ibrav = 0, nat = 20, ntyp = 3
/
ATOMIC_SPECIES
Tl 204.38 Tl.upf
Se 78.96 Se.upf
I 126.90 I.upf
CELL_PARAMETERS angstrom
-1.463 -3.548 2.534
-2.682 -5.978 -9.919
12.778 -3.820 2.030
ATOMIC_POSITIONS crystal
Tl 0.750 0.494 0.612
Tl 0.250 0.506 0.388
Tl 0.750 0.902 0.088
Tl 0.250 0.098 0.912
Tl 0.750 0.385 0.029
Tl 0.250 0.615 0.971
Tl 0.750 0.690 0.241
Tl 0.250 0.310 0.759
Tl 0.750 0.152 0.461
Tl 0.250 0.848 0.539
Tl 0.750 0.778 0.772
Tl 0.250 0.222 0.228
Se 0.750 0.511 0.835
Se 0.250 0.489 0.165
Se 0.750 0.667 0.466
Se 0.250 0.333 0.534
Se 0.750 0.151 0.079
Se 0.250 0.849 0.921
I 0.750 0.065 0.685
I 0.250 0.935 0.315
```

Computed properties:
**Calculated total energy**: -3.00 eV/atom
**DOS at the Fermi energy**: 0.349 states/eV per atom
**Uncorrected formation energy**: -0.383 eV per atom
**Relative energy among the computed polymorphs**: 0.0 meV per atom



# 4
Compound: Tl11Se5I
Source: the Alexandria database
Functional: PBE
Structure: relaxed Values from VASP.

Quantum ESPRESSO input file:
```
&SYSTEM
  ibrav = 0, nat = 17, ntyp = 3
/
ATOMIC_SPECIES
Tl 204.38 Tl.upf
Se 78.96 Se.upf
I 126.90 I.upf
CELL_PARAMETERS angstrom
-0.686 0.185 -7.398
-6.240 -6.339 3.373
-4.690 7.465 3.574
ATOMIC_POSITIONS crystal
Tl 0.416 0.691 0.691
Tl 0.584 0.309 0.309
Tl 0.733 0.174 0.682
Tl 0.267 0.826 0.318
Tl 0.267 0.318 0.826
Tl 0.733 0.682 0.174
Tl 0.500 0.000 0.000
Tl 0.881 0.807 0.568
Tl 0.119 0.193 0.432
Tl 0.119 0.432 0.193
Tl 0.881 0.568 0.807
Se 0.691 0.021 0.368
Se 0.309 0.979 0.632
Se 0.309 0.632 0.979
Se 0.691 0.368 0.021
Se 0.000 0.500 0.500
I 0.000 0.000 0.000
```

Computed properties:
**Calculated total energy**: -2.99 eV/atom
**DOS at the Fermi energy**: 0.001 states/eV per atom
**Uncorrected formation energy**: -0.344 eV per atom



# 5
Compound: Tl2SeI6
Source: the Alexandria database
Functional: PBE
Structure: relaxed Values from VASP.

Quantum ESPRESSO input file:
```
&SYSTEM
  ibrav = 0, nat = 18, ntyp = 3
/
ATOMIC_SPECIES
Tl 204.38 Tl.upf
Se 78.96 Se.upf
I 126.90 I.upf
CELL_PARAMETERS angstrom
-6.661 -3.982 -1.231
2.793 -2.541 -6.891
5.410 -10.982 6.242
ATOMIC_POSITIONS crystal
Tl 0.500 0.500 0.344
Tl 0.500 0.500 0.656
Tl 0.000 0.000 0.156
Tl 0.000 0.000 0.844
Se 0.500 0.500 0.000
Se 0.000 0.000 0.500
I 0.682 0.682 0.146
I 0.682 0.682 0.854
I 0.743 0.743 0.500
I 0.757 0.243 0.000
I 0.818 0.182 0.354
I 0.818 0.182 0.646
I 0.182 0.818 0.354
I 0.182 0.818 0.646
I 0.243 0.757 0.000
I 0.257 0.257 0.500
I 0.318 0.318 0.146
I 0.318 0.318 0.854
```

Computed properties:
**Calculated total energy**: -2.16 eV/atom
**Uncorrected formation energy**: -0.214 eV per atom



# 6
Compound: Tl3SeI
Source: the Alexandria database
Functional: PBE
Structure: relaxed Values from VASP.

Quantum ESPRESSO input file:
```
&SYSTEM
  ibrav = 0, nat = 10, ntyp = 3
/
ATOMIC_SPECIES
Tl 204.38 Tl.upf
Se 78.96 Se.upf
I 126.90 I.upf
CELL_PARAMETERS angstrom
6.756 0.000 3.784
2.318 6.346 3.784
-0.418 -0.292 8.669
ATOMIC_POSITIONS crystal
Tl 0.963 0.393 0.778
Tl 0.866 0.963 0.778
Tl 0.607 0.134 0.222
Tl 0.134 0.037 0.222
Tl 0.037 0.607 0.222
Tl 0.393 0.866 0.778
Se 0.178 0.178 0.465
Se 0.822 0.822 0.535
I 0.393 0.393 0.821
I 0.607 0.607 0.179
```

Computed properties:
**Calculated total energy**: -2.89 eV/atom
**Uncorrected formation energy**: -0.461 eV per atom
**Relative energy among the computed polymorphs**: 0.0 meV per atom



# 7
Compound: Tl5Se2I
Source: the Alexandria database
Functional: PBE
Structure: relaxed Values from VASP.

Quantum ESPRESSO input file:
```
&SYSTEM
  ibrav = 0, nat = 16, ntyp = 3
/
ATOMIC_SPECIES
I 126.90 I.upf
Se 78.96 Se.upf
Tl 204.38 Tl.upf
CELL_PARAMETERS angstrom
9.382 0.004 0.000
1.091 9.318 0.000
-5.236 -4.661 6.235
ATOMIC_POSITIONS crystal
I 0.250 0.250 0.000
I 0.750 0.750 0.000
Se 0.662 0.162 0.823
Se 0.338 0.838 0.177
Se 0.162 0.338 0.500
Se 0.838 0.662 0.500
Tl 0.000 0.000 0.000
Tl 0.500 0.500 0.000
Tl 0.008 0.508 0.788
Tl 0.720 0.220 0.212
Tl 0.508 0.720 0.500
Tl 0.220 0.008 0.500
Tl 0.780 0.992 0.500
Tl 0.492 0.280 0.500
Tl 0.280 0.780 0.788
Tl 0.992 0.492 0.212
```

Computed properties:
**Calculated total energy**: -2.99 eV/atom
**Uncorrected formation energy**: -0.447 eV per atom
**Relative energy among the computed polymorphs**: 0.0 meV per atom



# 8
Compound: Tl3SeI6
Source: the Alexandria database
Functional: PBE
Structure: relaxed Values from VASP.

Quantum ESPRESSO input file:
```
&SYSTEM
  ibrav = 0, nat = 20, ntyp = 3
/
ATOMIC_SPECIES
Tl 204.38 Tl.upf
Se 78.96 Se.upf
I 126.90 I.upf
CELL_PARAMETERS angstrom
8.321 0.000 0.000
0.000 10.819 1.539
0.000 -0.914 10.890
ATOMIC_POSITIONS crystal
Tl 0.537 0.860 0.656
Tl 0.037 0.656 0.860
Tl 0.400 0.417 0.583
Tl 0.900 0.583 0.417
Tl 0.037 0.140 0.344
Tl 0.537 0.344 0.140
Se 0.965 0.192 0.808
Se 0.465 0.808 0.192
I 0.218 0.706 0.584
I 0.718 0.584 0.706
I 0.218 0.377 0.887
I 0.718 0.887 0.377
I 0.037 0.023 0.977
I 0.638 0.184 0.816
I 0.138 0.816 0.184
I 0.537 0.977 0.023
I 0.218 0.113 0.623
I 0.718 0.623 0.113
I 0.218 0.416 0.294
I 0.718 0.294 0.416
```

Computed properties:
**Calculated total energy**: -2.28 eV/atom
**DOS at the Fermi energy**: 0.114 states/eV per atom
**Uncorrected formation energy**: -0.292 eV per atom



# 9
Compound: Tl2Se2I
Source: the Alexandria database
Functional: PBE
Structure: relaxed Values from VASP.

Quantum ESPRESSO input file:
```
&SYSTEM
  ibrav = 0, nat = 5, ntyp = 3
/
ATOMIC_SPECIES
I 126.90 I.upf
Tl 204.38 Tl.upf
Se 78.96 Se.upf
CELL_PARAMETERS angstrom
-1.801 0.555 3.582
-3.029 -2.427 -1.146
2.426 -8.695 4.854
ATOMIC_POSITIONS crystal
I 0.000 0.000 0.000
Tl 0.389 0.389 0.221
Tl 0.611 0.611 0.779
Se 0.750 0.250 0.500
Se 0.250 0.750 0.500
```

Computed properties:
**Calculated total energy**: -2.96 eV/atom
**DOS at the Fermi energy**: 0.237 states/eV per atom
**Uncorrected formation energy**: -0.314 eV per atom
**Relative energy among the computed polymorphs**: 48.4 meV per atom